An optimized crystal structure of Cd4Hg4Pb. Source: Alexandria, functional GGA-PBE.

Space group = I4/mmm, No. 139
Relative energy among the computed polymorphs = 0 meV per atom
Energy relative to the elements = 27 meV/atom
Total moment = 0.0 Bohr magnetons per cell

Cell: 4.5401 7.3677 7.3677 Å, 84.55 72.05 72.05°
With the nearest neighbours (Å) after each atom.
Sites, in units of the cell vectors:
Cd: 0.3409 0.6592 0.6590  5 Cd 3.15-3.18, 6 Hg 3.25-3.30, 1 Pb 3.38
Cd: 0.9999 0.3410 0.6592  5 Cd 3.15-3.18, 6 Hg 3.25-3.30, 1 Pb 3.38
Cd: 0.0001 0.6590 0.3408  5 Cd 3.15-3.18, 6 Hg 3.25-3.30, 1 Pb 3.38
Cd: 0.6591 0.3408 0.3410  5 Cd 3.15-3.18, 6 Hg 3.25-3.30, 1 Pb 3.38
Hg: 0.6724 0.6549 0.0002  4 Hg 3.14-3.42, 6 Cd 3.25-3.30, 2 Pb 3.32
Hg: 0.6726 0.9998 0.6549  4 Hg 3.14-3.42, 6 Cd 3.25-3.30, 2 Pb 3.32
Hg: 0.3274 0.0002 0.3451  4 Hg 3.14-3.42, 6 Cd 3.25-3.30, 2 Pb 3.32
Hg: 0.3276 0.3451 0.9998  4 Hg 3.14-3.42, 6 Cd 3.25-3.30, 2 Pb 3.32
Pb: 0.0000 0.0000 0.0000  8 Hg 3.32, 4 Cd 3.38